Record 1
Here is crystalline BaPtNO at its relaxed geometry from OQMD via LeMat-Bulk. Energies are from PBE.

abc: 4.1166 4.1166 9.1059
angles: 90.00 90.00 90.00
Space group P4/nmm (No. 129, origin choice 2)
One atom of each set of equivalent atoms:
Ba 0.2500 0.2500 0.1580 [2 per cell]
Pt 0.2500 0.7500 0.5000 [2 per cell]
N 0.2500 0.2500 0.5717 [2 per cell]
O 0.2500 0.7500 0.0000 [2 per cell]

Computed properties:
ΔE to the lowest computed polymorph	360.1	meV/atom

---

Record 2
Here is crystalline Pm4InSn3 at its relaxed geometry from OQMD via LeMat-Bulk. Energies are from PBE.

abc: 4.3775 4.6460 11.7067
angles: 90.00 90.00 90.00
Space group Pmm2 (No. 25)
One atom of each set of equivalent atoms:
Pm 0.0000 0.0000 0.0000 [1 per cell]
Pm 0.0000 0.5000 0.4989 [1 per cell]
Pm 0.5000 0.0000 0.7258 [1 per cell]
Pm 0.5000 0.5000 0.2262 [1 per cell]
In 0.0000 0.5000 0.7766 [1 per cell]
Sn 0.0000 0.0000 0.2729 [1 per cell]
Sn 0.5000 0.0000 0.4515 [1 per cell]
Sn 0.5000 0.5000 0.9481 [1 per cell]

Computed properties:
DFT total energy	-4.93	eV per atom